# 1
Compound: PuUTc2
Source: Alexandria via LeMat-Bulk
Functional: PBE
Structure: relaxed

The structure belongs to space group R3m (No. 160, hexagonal axes); the cell edges are 3.3234, 3.3234 and 25.4275 Å and the angles 90.00°, 90.00° and 120.00°. Symmetry generates all atoms from Pu at (0.0000, 0.0000, 0.0000), U at (0.0000, 0.0000, 0.8337), Tc at (0.0000, 0.0000, 0.2351) and Tc at (0.0000, 0.0000, 0.4317).

Its formation energy is 0.195 eV per atom. As for the total energy: -11.3934 eV/atom. The total magnetic moment is 17.4 μB/cell. The calculation puts the distance to the lowest polymorph of the same formula at 0.175 eV/atom. The density of states at the Fermi level comes out at 31.50 states/eV per cell.


# 2
Compound: KZrCu2I8
Source: Alexandria via LeMat-Bulk
Functional: PBE
Structure: relaxed

The structure belongs to space group C2/m (No. 12); the cell edges are 12.171, 8.035 and 10.126 Å and the angles 90.00°, 91.92° and 90.00°. Symmetry generates all atoms from K at (0.000, 0.000, 0.000), Zr at (0.000, 0.000, 0.500), Cu at (0.145, 0.500, 0.271), I at (0.002, 0.253, 0.704), I at (0.215, 0.500, 0.041) and I at (0.236, 0.000, 0.510).

As for the total energy: -3.1408 eV/atom. The total magnetic moment is 0.0 μB/cell. Its formation energy without anion corrections is -7.5 eV/f.u. The density of states at the Fermi level comes out at 27.38 states/eV per cell.


# 3
Compound: Pr3Ho7Er
Source: Alexandria via LeMat-Bulk
Functional: PBE
Structure: relaxed

The structure belongs to space group P3m1 (No. 156); the cell edges are 7.0646, 7.0646 and 8.6962 Å and the angles 90.00°, 90.00° and 120.00°. Symmetry generates all atoms from Pr at (0.0001, 0.5000, 0.0000), Ho at (0.1675, 0.3350, 0.6607), Ho at (0.3349, 0.1675, 0.3388), Ho at (0.6667, 0.3333, 0.6600) and Er at (0.3333, 0.6667, 0.3399).

Its formation energy is 0.172 eV per atom. As for the total energy: -4.4591 eV/atom. The total magnetic moment is 0.0 μB/cell. The calculation puts the distance to the lowest polymorph of the same formula at 0.048 eV/atom. The density of states at the Fermi level comes out at 16.64 states/eV per cell.


# 4
Compound: EuHoNiIr
Source: Alexandria via LeMat-Bulk
Functional: PBE
Structure: relaxed

The structure belongs to space group F-43m (No. 216); the cell edges are 6.878, 6.878 and 6.878 Å and the angles 90.00°, 90.00° and 90.00°. Symmetry generates all atoms from Eu at (0.000, 0.000, 0.000), Ho at (0.000, 0.000, 0.500), Ni at (0.250, 0.250, 0.250) and Ir at (0.250, 0.250, 0.750).

Its formation energy is -0.393 eV per atom. As for the total energy: -7.7665 eV/atom. The total magnetic moment is 26.9 μB/cell. The density of states at the Fermi level comes out at 47.57 states/eV per cell.


# 5
Compound: SiTe2Au
Source: Alexandria via LeMat-Bulk
Functional: PBE
Structure: relaxed

The structure belongs to space group Immm (No. 71); the cell edges are 3.827, 4.133 and 12.430 Å and the angles 90.00°, 90.00° and 90.00°. Symmetry generates all atoms from Si at (0.000, 0.000, 0.000), Te at (0.000, 0.500, 0.330) and Au at (0.000, 0.000, 0.500).

As for the total energy: -3.5354 eV/atom. The total magnetic moment is 0.0 μB/cell. Its formation energy without anion corrections is 0.8 eV/f.u. The density of states at the Fermi level comes out at 5.13 states/eV per cell.


# 6
Compound: Mn3InS
Source: Alexandria via LeMat-Bulk
Functional: PBE
Structure: relaxed

The structure belongs to space group Pm-3m (No. 221); the cell edges are 5.098, 5.098 and 5.098 Å and the angles 90.00°, 90.00° and 90.00°. Symmetry generates all atoms from Mn at (0.000, 0.000, 0.500), In at (0.000, 0.000, 0.000) and S at (0.500, 0.500, 0.500).

As for the total energy: -5.6608 eV/atom. The total magnetic moment is 14.0 μB/cell. The calculation puts the distance to the lowest polymorph of the same formula at 1.058 eV/atom. Its formation energy without anion corrections is 6.1 eV/f.u. The density of states at the Fermi level comes out at 3.69 states/eV per cell.


# 7
Compound: Mn2Cd2In
Source: Alexandria via LeMat-Bulk
Functional: PBE
Structure: relaxed

The structure belongs to space group P4/mbm (No. 127); the cell edges are 7.286, 7.286 and 3.727 Å and the angles 90.00°, 90.00° and 90.00°. Symmetry generates all atoms from Mn at (0.141, 0.359, 0.000), Cd at (0.155, 0.655, 0.500) and In at (0.000, 0.000, 0.000).

Its formation energy is 0.328 eV per atom. As for the total energy: -4.2531 eV/atom. The total magnetic moment is 14.4 μB/cell. The density of states at the Fermi level comes out at 6.60 states/eV per cell.


# 8
Compound: ZnW
Source: Alexandria via LeMat-Bulk
Functional: PBE
Structure: relaxed

The structure belongs to space group P4_2/mnm (No. 136); the cell edges are 5.070, 5.070 and 5.119 Å and the angles 90.00°, 90.00° and 90.00°. Symmetry generates all atoms from Zn at (0.179, 0.179, 0.000) and W at (0.177, 0.177, 0.500).

Its formation energy is 1.029 eV per atom. As for the total energy: -6.0847 eV/atom. The total magnetic moment is 0.0 μB/cell. The calculation puts the distance to the lowest polymorph of the same formula at 0.866 eV/atom. The density of states at the Fermi level comes out at 5.78 states/eV per cell.


# 9
Compound: KCa2Fe
Source: Alexandria via LeMat-Bulk
Functional: PBE
Structure: relaxed

The structure belongs to space group P4/mmm (No. 123); the cell edges are 3.691, 3.691 and 10.528 Å and the angles 90.00°, 90.00° and 90.00°. Symmetry generates all atoms from K at (0.000, 0.000, 0.000), Ca at (0.500, 0.500, 0.339) and Fe at (0.000, 0.000, 0.500).

Its formation energy is 0.403 eV per atom. As for the total energy: -2.9882 eV/atom. The total magnetic moment is 2.1 μB/cell. The calculation puts the distance to the lowest polymorph of the same formula at 0.000 eV/atom. The density of states at the Fermi level comes out at 6.40 states/eV per cell.


# 10
Compound: Cu3MoPt
Source: Alexandria via LeMat-Bulk
Functional: PBE
Structure: relaxed

The structure belongs to space group Pm-3m (No. 221); the cell edges are 4.568, 4.568 and 4.568 Å and the angles 90.00°, 90.00° and 90.00°. Symmetry generates all atoms from Cu at (0.000, 0.000, 0.500), Mo at (0.000, 0.000, 0.000) and Pt at (0.500, 0.500, 0.500).

Its formation energy is 1.708 eV per atom. As for the total energy: -4.1241 eV/atom. The total magnetic moment is 0.0 μB/cell. The calculation puts the distance to the lowest polymorph of the same formula at 0.429 eV/atom. The density of states at the Fermi level comes out at 4.20 states/eV per cell.


# 11
Compound: AcScRh
Source: Alexandria via LeMat-Bulk
Functional: PBE
Structure: relaxed

The structure belongs to space group P-1 (No. 2); the cell edges are 4.220, 6.325 and 6.785 Å and the angles 72.01°, 71.90° and 70.61°. Symmetry generates all atoms from Ac at (0.068, 0.192, 0.174), Sc at (0.306, 0.306, 0.583) and Rh at (0.345, 0.613, 0.196).

Its formation energy is -0.607 eV per atom. As for the total energy: -6.5373 eV/atom. The total magnetic moment is 0.0 μB/cell. The calculation puts the distance to the lowest polymorph of the same formula at 0.008 eV/atom. The density of states at the Fermi level comes out at 4.03 states/eV per cell.


# 12
Compound: CeMgTcNi
Source: Alexandria via LeMat-Bulk
Functional: PBE
Structure: relaxed

The structure belongs to space group F-43m (No. 216); the cell edges are 6.534, 6.534 and 6.534 Å and the angles 90.00°, 90.00° and 90.00°. Symmetry generates all atoms from Ce at (0.000, 0.000, 0.000), Mg at (0.000, 0.000, 0.500), Tc at (0.250, 0.250, 0.250) and Ni at (0.250, 0.250, 0.750).

Its formation energy is -0.027 eV per atom. As for the total energy: -5.9460 eV/atom. The total magnetic moment is 0.0 μB/cell. The density of states at the Fermi level comes out at 9.25 states/eV per cell.


Q: Among the records above, which one has the highest density of states at the Fermi level?
A: EuHoNiIr


Q: Look up the total magnetic moment of the seventh one.
A: 14.4 μB/cell


Q: Which formula does entry 6 have?
A: Mn3InS